Entry 1:
Entry from the Alexandria database: a relaxed Na3CuF crystal (PBE).

a = 4.6588 Å, b = 4.6588 Å, c = 4.6588 Å
α = 90.00°, β = 90.00°, γ = 90.00°
Closest atoms and distances in Å follow each position.
Positions (direct):
Na 0.0000 0.5000 0.0000  2 F 2.33
Na 0.0000 0.0000 0.5000  2 F 2.33
Na 0.5000 0.0000 0.0000  2 F 2.33
Cu 0.5000 0.5000 0.5000  12 Na 3.29
F 0.0000 0.0000 0.0000  6 Na 2.33

Properties
SG ... Pm-3m, No. 221
Formation energy from raw total energies ... -0.8477 eV/atom
Crystal system ... cubic
Energy above the lowest structure with this stoichiometry ... 0 meV per atom
Calculated density ... 2.49 g cm⁻³

Entry 2:
Entry from the Alexandria database: a relaxed Na3CuF8 crystal (PBE).

a = 5.3549 Å, b = 5.3549 Å, c = 6.4318 Å
α = 114.60°, β = 114.60°, γ = 90.00°
Closest atoms and distances in Å follow each position.
Positions (direct):
Na 0.7500 0.2500 0.5000  8 F 2.36
Na 0.5000 0.5000 0.0000  8 F 2.40
Na 0.2500 0.7500 0.5000  8 F 2.36
Cu 0.0000 0.0000 0.0000  8 F 2.08
F 0.3403 0.3403 0.2298  1 Cu 2.08
F 0.3403 0.8895 0.2298  1 Cu 2.08
F 0.1105 0.6597 0.7702  1 Cu 2.08
F 0.1105 0.1105 0.7702  1 Cu 2.08
F 0.8895 0.8895 0.2298  1 Cu 2.08
F 0.8895 0.3403 0.2298  1 Cu 2.08
F 0.6597 0.1105 0.7702  1 Cu 2.08
F 0.6597 0.6597 0.7702  1 Cu 2.08

Properties
SG ... I4/mmm, No. 139
Formation energy from raw total energies ... -1.7164 eV/atom
Crystal system ... tetragonal
Energy above the lowest structure with this stoichiometry ... 0 meV per atom
Calculated density ... 3.17 g cm⁻³

Entry 3:
Entry from the Alexandria database: a relaxed NaCu3F8 crystal (PBE).

a = 7.0255 Å, b = 6.7138 Å, c = 5.7186 Å
α = 130.23°, β = 90.00°, γ = 121.55°
Closest atoms and distances in Å follow each position.
Positions (direct):
Na 0.0000 0.0000 0.0000  8 F 2.31-2.47
Cu 0.5000 0.0000 0.0000  6 F 1.88-2.03
Cu 0.5000 0.5000 0.0000  4 F 1.89-1.90
Cu 0.0000 0.5000 0.0000  4 F 1.89-1.90
F 0.2483 0.4965 0.6262  1 Cu 1.88
F 0.7517 0.5035 0.3738  1 Cu 1.88
F 0.3120 0.0445 0.7911  2 Cu 1.89-2.03
F 0.7324 0.0445 0.7911  2 Cu 1.89-2.03
F 0.7591 0.5182 0.8888  2 Cu 1.90
F 0.2409 0.4818 0.1112  2 Cu 1.90
F 0.2676 0.9555 0.2089  2 Cu 1.89-2.03
F 0.6880 0.9555 0.2089  2 Cu 1.89-2.03

Properties
SG ... C2/m, No. 12
Formation energy from raw total energies ... -1.6751 eV/atom
Crystal system ... monoclinic
Energy above the lowest structure with this stoichiometry ... 0 meV per atom
Calculated density ... 4.05 g cm⁻³

Look up the formation energy from raw total energies of the second one.
-1.7164 eV/atom